A plane-wave DFT calculation with PBE was carried out for an optimized crystal structure of ErAlCo4.

Computed properties:
- Magnetic moment: 0.70 μB/atom
- DFT total energy: -6.375 eV/atom

Cell: 6.8900 6.8900 6.8900 Å, 90.00 90.00 90.00°
Closest atoms and distances in Å follow each position.
Space group F-43m (No. 216)
Asymmetric unit:
Er 0.0000 0.0000 0.0000 [4 per cell]  12 Co 2.86, 4 Al 2.98
Al 0.2500 0.2500 0.7500 [4 per cell]  12 Co 2.85, 4 Er 2.98
Co 0.1239 0.1239 0.3761 [16 per cell]  6 Co 2.41-2.46

***

A plane-wave DFT calculation with PBE was carried out for an optimized crystal structure of Sr2InAg4.

Computed properties:
- Magnetic moment: 0.00 μB/atom
- DFT total energy: -2.679 eV/atom

Cell: 6.5751 4.8200 6.5983 Å, 90.00 98.08 90.00°
Closest atoms and distances in Å follow each position.
Space group P2/m (No. 10)
Asymmetric unit:
Sr 0.1993 0.0000 0.3011 [2 per cell]  8 Ag 3.35-3.45
In 0.5000 0.5000 0.0000 [1 per cell]  6 Ag 2.84-2.93
Ag 0.1623 0.5000 0.6599 [2 per cell]  3 Ag 2.78-2.80, 1 In 2.93
Ag 0.3254 0.0000 0.8263 [2 per cell]  3 Ag 2.80-3.01, 2 In 2.84

***

A plane-wave DFT calculation with PBE was carried out for an optimized crystal structure of Er2CdRe.

Computed properties:
- Magnetic moment: 0.00 μB/atom
- DFT total energy: -5.711 eV/atom

Cell: 3.4619 3.4619 7.6511 Å, 90.00 90.00 90.00°
Closest atoms and distances in Å follow each position.
Space group P4/mmm (No. 123)
Asymmetric unit:
Er 0.0000 0.0000 0.2135 [2 per cell]  4 Re 2.94, 1 Er 3.27, 4 Cd 3.29
Cd 0.5000 0.5000 0.5000 [1 per cell]  8 Er 3.29, 4 Cd 3.46
Re 0.5000 0.5000 0.0000 [1 per cell]  8 Er 2.94

***

A plane-wave DFT calculation with PBE was carried out for an optimized crystal structure of Li2CrB.

Computed properties:
- Magnetic moment: 0.00 μB/atom
- DFT total energy: -4.217 eV/atom

Cell: 6.5357 6.5357 4.1916 Å, 90.00 90.00 90.00°
Closest atoms and distances in Å follow each position.
Space group I-42d (No. 122)
Asymmetric unit:
Li 0.1959 0.2500 0.1250 [8 per cell]  2 B 2.14, 2 Li 2.21
Cr 0.0000 0.0000 0.5000 [4 per cell]  2 B 2.10
B 0.0000 0.0000 0.0000 [4 per cell]  2 Cr 2.10, 4 Li 2.14

***

A plane-wave DFT calculation with PBE was carried out for an optimized crystal structure of MnRu2Pt.

Computed properties:
- Magnetic moment: 1.07 μB/atom
- DFT total energy: -8.179 eV/atom

Cell: 6.1687 6.1687 6.1687 Å, 90.00 90.00 90.00°
Closest atoms and distances in Å follow each position.
Space group F-43m (No. 216)
Asymmetric unit:
Mn 0.0000 0.0000 0.0000 [4 per cell]  4 Ru 2.67, 4 Pt 2.67
Ru 0.0000 0.0000 0.5000 [4 per cell]  4 Pt 2.67, 4 Ru 2.67
Ru 0.2500 0.2500 0.7500 [4 per cell]  4 Mn 2.67, 4 Ru 2.67
Pt 0.2500 0.2500 0.2500 [4 per cell]  4 Mn 2.67, 4 Ru 2.67

***

A plane-wave DFT calculation with PBE was carried out for an optimized crystal structure of LaBeGe3.

Computed properties:
- Magnetic moment: 0.00 μB/atom
- ΔE to the lowest computed polymorph: 79 meV per atom

Cell: 11.2285 4.0892 9.6038 Å, 90.00 110.25 90.00°
Closest atoms and distances in Å follow each position.
Space group C2/m (No. 12)
Asymmetric unit:
La 0.0756 0.0000 0.3232 [4 per cell]  9 Ge 3.06-3.32, 2 Be 3.23
Be 0.1504 0.5000 0.8456 [4 per cell]  6 Ge 2.40-2.56
Ge 0.1166 0.5000 0.5852 [4 per cell]  1 Be 2.40, 3 Ge 2.56-2.65
Ge 0.1339 0.0000 0.9824 [4 per cell]  3 Be 2.41-2.47
Ge 0.2356 0.0000 0.7503 [4 per cell]  2 Be 2.56, 3 Ge 2.65-2.84

***

A plane-wave DFT calculation with PBE was carried out for an optimized crystal structure of CaPtSe.

Computed properties:
- Raw formation energy: -1122.3 meV/atom
- Magnetic moment: 0.00 μB/atom

Cell: 4.0294 5.5363 6.2062 Å, 90.00 90.06 90.00°
Closest atoms and distances in Å follow each position.
Space group P2_1/m (No. 11)
Asymmetric unit:
Ca 0.0005 0.2500 0.2818 [2 per cell]  4 Pt 3.01, 2 Se 3.14
Pt 0.5000 0.0000 0.0000 [2 per cell]  2 Se 2.47, 2 Pt 2.77
Se 0.4988 0.7500 0.3300 [2 per cell]  2 Pt 2.47

***

A plane-wave DFT calculation with PBE was carried out for an optimized crystal structure of TaCuOs.

Computed properties:
- Magnetic moment: 0.00 μB/atom
- ΔE to the lowest computed polymorph: 498 meV per atom

Cell: 6.0047 6.0047 6.0047 Å, 90.00 90.00 90.00°
Closest atoms and distances in Å follow each position.
Space group F-43m (No. 216)
Asymmetric unit:
Ta 0.0000 0.0000 0.0000 [4 per cell]  4 Os 2.60
Cu 0.0000 0.0000 0.5000 [4 per cell]  4 Os 2.60
Os 0.2500 0.2500 0.2500 [4 per cell]  4 Ta 2.60, 4 Cu 2.60

***

A plane-wave DFT calculation with PBE was carried out for an optimized crystal structure of TaCuOs.

Computed properties:
- Magnetic moment: 0.00 μB/atom
- ΔE to the lowest computed polymorph: 0 meV per atom

Cell: 3.2786 3.2786 8.3894 Å, 90.00 90.00 90.00°
Closest atoms and distances in Å follow each position.
Space group I4mm (No. 107)
Asymmetric unit:
Ta 0.0000 0.0000 0.0000 [2 per cell]  5 Os 2.68-2.85, 5 Cu 2.72-2.77
Cu 0.0000 0.0000 0.3303 [2 per cell]  5 Ta 2.72-2.77, 5 Os 2.72-2.77
Os 0.0000 0.0000 0.6604 [2 per cell]  5 Ta 2.68-2.85, 5 Cu 2.72-2.77

***

A plane-wave DFT calculation with PBE was carried out for an optimized crystal structure of Pr3DyTh2.

Computed properties:
- Magnetic moment: 0.00 μB/atom
- DFT total energy: -5.556 eV/atom

Cell: 5.1333 15.3478 5.1828 Å, 90.00 90.00 90.00°
Closest atoms and distances in Å follow each position.
Space group Cmmm (No. 65)
Asymmetric unit:
Pr 0.0000 0.0000 0.0000 [2 per cell]  4 Th 3.64, 4 Dy 3.65, 4 Pr 3.66
Pr 0.0000 0.1688 0.5000 [4 per cell]  4 Pr 3.58-3.66, 6 Th 3.61-3.65, 2 Dy 3.65
Dy 0.0000 0.5000 0.5000 [2 per cell]  8 Pr 3.65, 4 Th 3.65
Th 0.0000 0.3321 0.0000 [4 per cell]  2 Th 3.60, 8 Pr 3.61-3.65, 2 Dy 3.65

***

A plane-wave DFT calculation with PBE was carried out for an optimized crystal structure of Na3PdPt2O6.

Computed properties:
- Raw formation energy: -794.6 meV/atom
- Magnetic moment: 0.00 μB/atom

Cell: 5.4852 10.4134 5.4313 Å, 90.00 109.14 90.00°
Closest atoms and distances in Å follow each position.
Space group C2/m (No. 12)
Asymmetric unit:
Na 0.0000 0.0000 0.0000 [2 per cell]  6 O 2.41-2.60
Na 0.0000 0.3377 0.0000 [4 per cell]  6 O 2.40-2.52
Pd 0.0000 0.5000 0.5000 [2 per cell]  2 O 2.07
Pt 0.0000 0.1671 0.5000 [4 per cell]  6 O 2.08-2.18
O 0.2259 0.0000 0.6864 [4 per cell]  1 Pd 2.07, 2 Pt 2.18
O 0.2383 0.3180 0.7029 [8 per cell]  2 Pt 2.08-2.11

***

A plane-wave DFT calculation with PBE was carried out for an optimized crystal structure of TiBe3.

Computed properties:
- Magnetic moment: 0.20 μB/atom
- DFT total energy: -4.978 eV/atom

Cell: 4.4911 4.4911 21.0787 Å, 90.00 90.00 120.00°
Closest atoms and distances in Å follow each position.
Space group R-3m (No. 166, hexagonal axes)
Asymmetric unit:
Ti 0.0000 0.0000 0.0000 [3 per cell]  18 Be 2.59-2.82
Ti 0.0000 0.0000 0.1422 [6 per cell]  12 Be 2.59-2.65, 3 Ti 2.79
Be 0.0000 0.0000 0.3340 [6 per cell]  6 Be 2.14-2.15
Be 0.0000 0.0000 0.5000 [3 per cell]  6 Be 2.23
Be 0.0022 0.5011 0.9189 [18 per cell]  7 Be 2.14-2.26

***

A plane-wave DFT calculation with PBE was carried out for an optimized crystal structure of CdRuIO2.

Computed properties:
- Raw formation energy: -216.9 meV/atom
- Magnetic moment: 0.11 μB/atom
- ΔE to the lowest computed polymorph: 0 meV per atom

Cell: 3.9690 3.9690 5.9086 Å, 90.00 90.00 90.00°
Closest atoms and distances in Å follow each position.
Space group P4/mmm (No. 123)
Asymmetric unit:
Cd 0.0000 0.0000 0.0000 [1 per cell]  4 I 2.81
Ru 0.5000 0.5000 0.5000 [1 per cell]  4 O 1.98
I 0.5000 0.5000 0.0000 [1 per cell]  4 Cd 2.81, 2 Ru 2.95
O 0.0000 0.5000 0.5000 [2 per cell]  2 Ru 1.98

***

A plane-wave DFT calculation with PBE was carried out for an optimized crystal structure of RbPrPd4.

Computed properties:
- Magnetic moment: 0.00 μB/atom
- DFT total energy: -4.778 eV/atom

Cell: 7.9160 7.9160 7.9160 Å, 90.00 90.00 90.00°
Closest atoms and distances in Å follow each position.
Space group F-43m (No. 216)
Asymmetric unit:
Rb 0.0000 0.0000 0.0000 [4 per cell]  12 Pd 3.28, 4 Pr 3.43
Pr 0.2500 0.2500 0.7500 [4 per cell]  12 Pd 3.28, 4 Rb 3.43
Pd 0.1244 0.1244 0.3756 [16 per cell]  6 Pd 2.79-2.81

***

A plane-wave DFT calculation with PBE was carried out for an optimized crystal structure of AcLa14In.

Computed properties:
- Magnetic moment: 0.00 μB/atom
- DFT total energy: -4.797 eV/atom

Cell: 10.4447 10.4613 10.4576 Å, 90.00 90.00 90.00°
Closest atoms and distances in Å follow each position.
Space group Cmmm (No. 65)
Asymmetric unit:
Ac 0.0000 0.0000 0.0000 [2 per cell]  12 La 3.70-3.74
La 0.0000 0.0000 0.5000 [2 per cell]  12 La 3.70-3.80
La 0.0000 0.2600 0.2456 [8 per cell]  10 La 3.55-3.85, 1 In 3.59, 1 Ac 3.74
La 0.0000 0.5000 0.5000 [2 per cell]  12 La 3.65-3.70
La 0.2397 0.5000 0.2457 [8 per cell]  10 La 3.55-3.85, 1 In 3.59, 1 Ac 3.74
La 0.2500 0.2500 0.0000 [4 per cell]  8 La 3.66-3.67, 2 Ac 3.70, 2 In 3.70
La 0.2500 0.2500 0.5000 [4 per cell]  12 La 3.70-3.73
In 0.0000 0.5000 0.0000 [2 per cell]  12 La 3.59-3.70

***

A plane-wave DFT calculation with PBE was carried out for an optimized crystal structure of LiHfZrSe4.

Computed properties:
- Raw formation energy: -1323.2 meV/atom
- Magnetic moment: 0.00 μB/atom

Cell: 7.8127 7.8474 11.1006 Å, 90.00 90.00 90.00°
Closest atoms and distances in Å follow each position.
Space group Imma (No. 74)
Asymmetric unit:
Li 0.0000 0.2500 0.1258 [4 per cell]  4 Se 2.49-2.50
Hf 0.0000 0.0000 0.5000 [4 per cell]  6 Se 2.69-2.70
Zr 0.2500 0.2500 0.7500 [4 per cell]  6 Se 2.73-2.74
Se 0.0000 0.0069 0.7426 [8 per cell]  1 Li 2.49, 1 Hf 2.69, 2 Zr 2.73
Se 0.2380 0.2500 0.5032 [8 per cell]  1 Li 2.50, 2 Hf 2.70, 1 Zr 2.74

***

A plane-wave DFT calculation with PBE was carried out for an optimized crystal structure of Nb2OsRu2.

Computed properties:
- Magnetic moment: 0.00 μB/atom
- DFT total energy: -9.882 eV/atom

Cell: 7.2086 7.2086 3.1052 Å, 90.00 90.00 90.00°
Closest atoms and distances in Å follow each position.
Space group P4/mbm (No. 127)
Asymmetric unit:
Nb 0.1731 0.3269 0.0000 [4 per cell]  6 Ru 2.54-2.70
Os 0.0000 0.0000 0.5000 [2 per cell]  4 Ru 2.83, 8 Nb 3.09, 2 Os 3.11
Ru 0.1303 0.6303 0.5000 [4 per cell]  6 Nb 2.54-2.70, 1 Ru 2.66, 2 Os 2.83

***

A plane-wave DFT calculation with PBE was carried out for an optimized crystal structure of PmCo2Ni5.

Computed properties:
- Magnetic moment: 0.68 μB/atom
- DFT total energy: -5.952 eV/atom

Cell: 3.6797 6.7212 8.9133 Å, 90.00 90.00 90.00°
Closest atoms and distances in Å follow each position.
Space group Immm (No. 71)
Asymmetric unit:
Pm 0.0000 0.0000 0.0000 [2 per cell]  4 Co 2.86, 8 Ni 3.11
Co 0.0000 0.5000 0.2540 [4 per cell]  7 Ni 2.26-2.40
Ni 0.0000 0.1820 0.3524 [8 per cell]  3 Co 2.31-2.40, 3 Ni 2.45-2.57
Ni 0.0000 0.5000 0.0000 [2 per cell]  2 Co 2.26

***

A plane-wave DFT calculation with PBE was carried out for an optimized crystal structure of NaPmLuTl.

Computed properties:
- Magnetic moment: 0.00 μB/atom
- DFT total energy: -3.278 eV/atom

Cell: 7.6674 7.6674 7.6674 Å, 90.00 90.00 90.00°
Closest atoms and distances in Å follow each position.
Space group F-43m (No. 216)
Asymmetric unit:
Na 0.0000 0.0000 0.0000 [4 per cell]  4 Pm 3.32, 4 Lu 3.32
Pm 0.2500 0.2500 0.7500 [4 per cell]  4 Tl 3.32, 4 Na 3.32
Lu 0.2500 0.2500 0.2500 [4 per cell]  4 Tl 3.32, 4 Na 3.32
Tl 0.0000 0.0000 0.5000 [4 per cell]  4 Pm 3.32, 4 Lu 3.32

***

A plane-wave DFT calculation with PBE was carried out for an optimized crystal structure of Sm6Y3Pu.

Computed properties:
- Magnetic moment: 0.62 μB/atom
- DFT total energy: -5.978 eV/atom

Cell: 6.1669 9.3247 12.9232 Å, 90.00 116.96 90.00°
Closest atoms and distances in Å follow each position.
Space group P2_1/c (No. 14)
Asymmetric unit:
Sm 0.0711 0.1623 0.0732 [4 per cell]  1 Pu 3.26, 3 Y 3.44-3.55, 3 Sm 3.47-3.64
Sm 0.3807 0.0228 0.7423 [4 per cell]  1 Pu 2.95, 2 Y 3.07-3.28
Sm 0.4194 0.1579 0.4301 [4 per cell]  2 Y 3.29-3.49, 2 Sm 3.36-3.44, 2 Pu 3.43-3.59
Y 0.1278 0.6703 0.7479 [4 per cell]  5 Sm 3.28-3.65
Y 0.5000 0.0000 0.0000 [2 per cell]  4 Sm 3.07-3.29
Pu 0.0000 0.0000 0.5000 [2 per cell]  4 Sm 2.95-3.26